A relaxed Ca2CuSb crystal, computed with GGA-PBE.

Structure (POSCAR):
```
Ca2CuSb
1.0
3.708 0.000 0.000
0.000 3.708 0.000
0.000 0.000 7.491
Ca Cu Sb
2 1 1
direct
0.000 0.000 0.235
0.000 0.000 0.765
0.500 0.500 0.000
0.500 0.500 0.500
```

* formation energy from raw total energies: -1.79 eV per formula unit
* DFT total energy: -3.504 eV/atom
* volume: 25.75 A^3/atom